# 1
## YAsC2 (PBE-GGA)

Data for an optimized crystal structure of YAsC2.

Electronic total energy in eV per cell: -112.124

Unit cell a=5.692 b=5.692 c=7.022 alpha=90.00 beta=90.00 gamma=90.00
Space group I-42d (No. 122)
Unique sites:
Y1 0.000 0.000 0.000
As1 0.000 0.000 0.500
C1 0.178 0.250 0.625

=====

# 2
## Y6AsC2 (PBE-GGA)

Data for an optimized crystal structure of Y6AsC2.

Electronic total energy in eV per cell: -131.235

Unit cell a=12.725 b=4.893 c=8.550 alpha=90.00 beta=122.86 gamma=90.00
Space group C2/m (No. 12)
Unique sites:
Y1 0.033 0.000 0.204
Y2 0.156 0.500 0.588
Y3 0.193 0.500 0.070
As1 0.000 0.000 0.500
C1 0.180 0.000 0.092

=====

# 3
## YAs2C (PBE-GGA)

Data for an optimized crystal structure of YAs2C.

Electronic total energy in eV per cell: -97.464

Unit cell a=6.371 b=6.371 c=7.467 alpha=90.00 beta=90.00 gamma=90.00
Space group I-42d (No. 122)
Unique sites:
Y1 0.000 0.000 0.000
As1 0.145 0.250 0.625
C1 0.000 0.000 0.500

=====

# 4
## Y2AsC (PBE-GGA)

Data for an optimized crystal structure of Y2AsC.

Electronic total energy in eV per cell: -107.476

Unit cell a=6.770 b=6.770 c=6.770 alpha=90.00 beta=90.00 gamma=90.00
Space group Fm-3m (No. 225)
Unique sites:
Y1 0.250 0.250 0.250
As1 0.000 0.000 0.000
C1 0.000 0.000 0.500

=====

# 5
## YAsC3 (PBE-GGA)

Data for an optimized crystal structure of YAsC3.

Electronic total energy in eV per cell: -30.876
Energy above the lowest structure with this stoichiometry in kJ/mol of formula units: 0

Unit cell a=3.975 b=3.975 c=3.975 alpha=90.00 beta=90.00 gamma=90.00
Space group Pm-3m (No. 221)
Unique sites:
Y1 0.000 0.000 0.000
As1 0.500 0.500 0.500
C1 0.000 0.500 0.500

=====

# 6
## Y2AsC (PBE-GGA)

Data for an optimized crystal structure of Y2AsC.

Electronic total energy in eV per cell: -89.162

Unit cell a=3.6824 b=3.6824 c=20.7724 alpha=90.00 beta=90.00 gamma=120.00
Space group R-3m (No. 166, hexagonal axes)
Unique sites:
Y1 0.0000 0.0000 0.2327
As1 0.0000 0.0000 0.0000
C1 0.0000 0.0000 0.5000

=====

# 7
## Zn2As2C (PBE-GGA)

Data for an optimized crystal structure of Zn2As2C.

Electronic total energy in eV per cell: -32.381
Energy above the lowest structure with this stoichiometry in kJ/mol of formula units: 0

Unit cell a=6.098 b=6.098 c=4.603 alpha=90.00 beta=90.00 gamma=90.00
Space group P4/mbm (No. 127)
Unique sites:
Zn1 0.149 0.351 0.000
As1 0.208 0.708 0.500
C1 0.000 0.000 0.500

=====

# 8
## ZnAsC3 (PBE-GGA)

Data for an optimized crystal structure of ZnAsC3.

Electronic total energy in eV per cell: -20.497
Energy above the lowest structure with this stoichiometry in kJ/mol of formula units: 0

Unit cell a=3.930 b=3.930 c=3.930 alpha=90.00 beta=90.00 gamma=90.00
Space group Pm-3m (No. 221)
Unique sites:
Zn1 0.000 0.000 0.000
As1 0.500 0.500 0.500
C1 0.000 0.500 0.500

=====

no.,Fermi-level density of states (states/eV/atom),ΔE_f (meV/atom),size of the total moment (μB/cell)
1,0.00,383,0.0
2,0.88,-415,0.4
3,0.64,155,0.0
4,0.97,-17,0.0
5,0.82,1582,0.0
6,0.12,-730,0.0
7,0.41,976,0.0
8,0.72,2620,0.0